Density functional theory data (GGA-PBE) for a relaxed structure of Dy3Y2TmSb6.

a = 9.790 Å, b = 9.790 Å, c = 8.758 Å
α = 102.86°, β = 102.86°, γ = 25.84°
Fractional positions:
1 Dy 0.000 0.000 0.000
2 Dy 0.333 0.333 0.667
3 Dy 0.667 0.667 0.333
4 Y 0.334 0.334 0.167
5 Y 0.666 0.666 0.833
6 Tm 0.000 0.000 0.500
7 Sb 0.166 0.166 0.582
8 Sb 0.167 0.167 0.084
9 Sb 0.500 0.500 0.253
10 Sb 0.500 0.500 0.747
11 Sb 0.833 0.833 0.916
12 Sb 0.834 0.834 0.418

Energy relative to the elements, uncorrected: -1.13 eV/atom
Calculated volume: 356 Å³ per cell
Crystal system: monoclinic
Energy: -69.53 eV for the cell shown